Entry from Alexandria: HoThIr after structural relaxation (PBE).

Structure (POSCAR):
```
HoThIr
1.0
-2.785 -0.918 -2.574
-4.440 -3.390 3.056
-5.398 4.421 1.307
Th Ir Ho
2 2 2
Direct
0.587 0.942 0.885
0.000 0.426 0.573
0.313 0.559 0.816
0.032 0.750 0.185
0.758 0.357 0.128
0.334 0.906 0.426
```

Calculated values
The density of states at the Fermi level comes out at 2.78 states/eV/f.u. Its energy above the lowest structure with this stoichiometry is 0.0000 eV per atom.



Entry from Alexandria: Ho2ThIr after structural relaxation (PBE).

Structure (POSCAR):
```
Ho2ThIr
1.0
3.630 0.000 0.000
1.815 3.143 0.000
1.815 1.048 10.540
Ho Ir Th
2 1 1
Direct
0.111 0.111 0.666
0.889 0.889 0.334
0.500 0.500 0.500
0.000 0.000 0.000
```

Calculated values
The density of states at the Fermi level comes out at 5.43 states/eV/f.u. Its energy above the lowest structure with this stoichiometry is 0.4796 eV per atom.



Entry from Alexandria: HoTh2Ir after structural relaxation (PBE).

Structure (POSCAR):
```
HoTh2Ir
1.0
3.877 0.000 0.000
1.939 3.358 0.000
1.939 1.119 10.289
Th Ho Ir
2 1 1
Direct
0.889 0.889 0.333
0.111 0.111 0.667
0.000 0.000 0.000
0.500 0.500 0.500
```

Calculated values
The density of states at the Fermi level comes out at 5.71 states/eV/f.u. Its energy above the lowest structure with this stoichiometry is 0.4075 eV per atom.



Entry from Alexandria: HoThIr2 after structural relaxation (PBE).

Structure (POSCAR):
```
HoThIr2
1.0
4.964 0.000 0.000
2.482 4.299 0.000
2.482 1.433 4.053
Ir Th Ho
2 1 1
Direct
0.250 0.250 0.250
0.750 0.750 0.750
0.500 0.500 0.500
0.000 0.000 0.000
```

Calculated values
The density of states at the Fermi level comes out at 2.18 states/eV/f.u. Its energy above the lowest structure with this stoichiometry is 0.1234 eV per atom.



Entry from Alexandria: Ho2ThIr after structural relaxation (PBE).

Structure (POSCAR):
```
Ho2ThIr
1.0
3.480 0.000 0.000
0.000 3.480 0.000
0.000 0.000 8.571
Ir Th Ho
1 1 2
Direct
0.500 0.500 0.000
0.500 0.500 0.500
0.000 0.000 0.810
0.000 0.000 0.190
```

Calculated values
The density of states at the Fermi level comes out at 4.10 states/eV/f.u. Its energy above the lowest structure with this stoichiometry is 0.1586 eV per atom.



Entry from Alexandria: HoTh2Ir after structural relaxation (PBE).

Structure (POSCAR):
```
HoTh2Ir
1.0
3.825 -0.151 0.000
-1.674 5.904 0.000
0.000 0.000 10.077
Th Ho Ir
4 2 2
Direct
0.862 0.724 0.560
0.862 0.724 0.940
0.138 0.276 0.440
0.138 0.276 0.060
0.416 0.832 0.250
0.584 0.168 0.750
0.287 0.574 0.750
0.713 0.426 0.250
```

Calculated values
The density of states at the Fermi level comes out at 5.05 states/eV/f.u. Its energy above the lowest structure with this stoichiometry is 0.0000 eV per atom.



Entry from Alexandria: HoTiIr2 after structural relaxation (PBE).

Structure (POSCAR):
```
HoTiIr2
1.0
-4.431 1.159 0.623
-3.320 -3.163 -0.581
-2.319 -1.615 3.658
Ti Ir Ho
1 2 1
Direct
0.000 0.000 0.000
0.750 0.750 0.750
0.250 0.250 0.250
0.500 0.500 0.500
```

Calculated values
The density of states at the Fermi level comes out at 3.44 states/eV/f.u. Its energy above the lowest structure with this stoichiometry is 0.1386 eV per atom.



Entry from Alexandria: HoTi2Ir2 after structural relaxation (PBE).

Structure (POSCAR):
```
HoTi2Ir2
1.0
-0.915 -4.029 -0.928
3.819 -0.459 -1.771
0.562 0.694 6.094
Ir Ti Ho
2 2 1
Direct
0.620 0.620 0.239
0.380 0.380 0.761
0.250 0.750 0.500
0.750 0.250 0.500
0.000 0.000 0.000
```

Calculated values
The density of states at the Fermi level comes out at 5.21 states/eV/f.u. The total energy comes out at -8.434 eV per atom.



Entry from Alexandria: HoTiIr2 after structural relaxation (PBE).

Structure (POSCAR):
```
HoTiIr2
1.0
-2.757 1.405 -0.103
0.067 -0.094 -3.094
-3.288 -6.441 0.124
Ho Ir Ti
1 2 1
Direct
0.500 0.500 0.500
0.000 0.000 0.788
0.000 0.000 0.212
0.500 0.500 0.000
```

Calculated values
The density of states at the Fermi level comes out at 3.78 states/eV/f.u. Its energy above the lowest structure with this stoichiometry is 0.0000 eV per atom.



Entry from Alexandria: HoTi2Ir3 after structural relaxation (PBE).

Structure (POSCAR):
```
HoTi2Ir3
1.0
-0.752 0.965 2.807
-1.363 -2.685 0.558
9.146 -3.858 3.777
Ti Ir Ho
2 3 1
Direct
0.500 0.500 0.843
0.500 0.500 0.157
0.000 0.000 0.705
0.000 0.000 0.295
0.000 0.000 0.000
0.500 0.500 0.500
```

Calculated values
The density of states at the Fermi level comes out at 4.11 states/eV/f.u. The total energy comes out at -8.662 eV per atom.



Entry from Alexandria: HoTiZnIr2 after structural relaxation (PBE).

Structure (POSCAR):
```
HoTiZnIr2
1.0
-3.265 -2.214 -0.430
2.033 -2.561 -2.248
2.057 -0.664 6.120
Ir Ho Ti Zn
2 1 1 1
Direct
0.610 0.610 0.220
0.390 0.390 0.780
0.000 0.000 0.000
0.250 0.750 0.500
0.750 0.250 0.500
```

Calculated values
The density of states at the Fermi level comes out at 3.73 states/eV/f.u. The total energy comes out at -6.959 eV per atom.



Entry from Alexandria: HoTlIr after structural relaxation (PBE).

Structure (POSCAR):
```
HoTlIr
1.0
-4.635 0.198 0.793
-2.576 -3.937 -0.109
-1.783 -1.757 3.986
Ir Ho Tl
1 1 1
Direct
0.250 0.250 0.250
0.000 0.000 0.000
0.500 0.500 0.500
```

Calculated values
The density of states at the Fermi level comes out at 1.21 states/eV/f.u. The total energy comes out at -5.649 eV per atom.